# CaY3Ir (GGA-PBEsol, relaxed)
data_CaY3Ir
_cell_length_a 5.027
_cell_length_b 5.027
_cell_length_c 5.027
_cell_angle_alpha 90.00
_cell_angle_beta 90.00
_cell_angle_gamma 90.00
_space_group_name_H-M_alt 'P m -3 m'
_space_group_IT_number 221
_space_group_name_Hall '-P 4 2 3'
loop_
_atom_site_label
_atom_site_type_symbol
_atom_site_fract_x
_atom_site_fract_y
_atom_site_fract_z
_atom_site_occupancy
Ca1 Ca 0.000 0.000 0.000 1
Y1 Y 0.000 0.000 0.500 1
Ir1 Ir 0.500 0.500 0.500 1
# Energy relative to the lowest polymorph listed for this composition   900.5 kJ/mol of formula units
# DOS at the Fermi energy   5.906 states/eV/cell
# DFT formation energy   1.4786 eV/atom